(1)
Density functional theory data (PBE-GGA) for a relaxed structure of DyErMnAu.

Cell and atoms, written as POSCAR:
```
DyErMnAu
1.0
5.038 0.000 0.000
2.519 4.363 0.000
2.519 1.454 4.113
Dy Au Mn Er
1 1 1 1
Direct
0.250 0.250 0.250
0.000 0.000 0.000
0.500 0.500 0.500
0.750 0.750 0.750
```

energy of formation	-265.9	meV per atom
mass density	10683	kg/m³

(2)
Density functional theory data (PBE-GGA) for a relaxed structure of DyErNiAu.

Cell and atoms, written as POSCAR:
```
DyErNiAu
1.0
-0.799 -3.639 0.239
4.368 -0.974 -0.235
0.740 2.088 5.105
Dy Er Ni Au
1 1 1 1
Direct
0.861 0.500 0.722
0.141 0.000 0.283
0.418 0.000 0.836
0.580 0.500 0.159
```

energy of formation	-655.0	meV per atom
mass density	11083	kg/m³

(3)
Density functional theory data (PBE-GGA) for a relaxed structure of DyErNiAu.

Cell and atoms, written as POSCAR:
```
DyErNiAu
1.0
-1.363 -4.240 2.117
1.851 -4.273 -1.623
3.208 -2.512 2.778
Ni Dy Au Er
1 1 1 1
Direct
0.250 0.250 0.250
0.000 0.000 0.000
0.750 0.750 0.750
0.500 0.500 0.500
```

energy of formation	-604.4	meV per atom
mass density	11465	kg/m³

(4)
Density functional theory data (PBE-GGA) for a relaxed structure of DyErAu2O8.

Cell and atoms, written as POSCAR:
```
DyErAu2O8
1.0
-1.430 -5.053 0.686
2.885 -0.214 4.436
-4.909 4.197 0.234
Dy Er Au O
1 1 2 8
Direct
0.750 0.250 0.500
0.000 0.000 0.000
0.500 0.500 0.000
0.250 0.750 0.500
0.876 0.859 0.249
0.373 0.390 0.249
0.610 0.627 0.751
0.141 0.124 0.751
0.876 0.390 0.249
0.373 0.859 0.249
0.141 0.627 0.751
0.610 0.124 0.751
```

formation energy without anion corrections	-108.12	kJ/mol of atoms
mass density	9574	kg/m³

(5)
Density functional theory data (PBE-GGA) for a relaxed structure of PrDyEr2Au4.

Cell and atoms, written as POSCAR:
```
PrDyEr2Au4
1.0
-4.897 -1.383 0.169
-2.161 -1.173 4.458
-4.612 7.276 2.586
Pr Dy Er Au
1 1 2 4
Direct
0.000 0.000 0.000
0.500 0.500 0.500
0.752 0.752 0.745
0.248 0.248 0.255
0.382 0.382 0.854
0.872 0.872 0.385
0.128 0.128 0.615
0.618 0.618 0.146
```

energy of formation	-833.1	meV per atom
mass density	12408	kg/m³

(6)
Density functional theory data (PBE-GGA) for a relaxed structure of DyErSiAu.

Cell and atoms, written as POSCAR:
```
DyErSiAu
1.0
-3.063 3.982 0.064
-3.649 0.307 3.440
0.329 3.363 3.718
Si Dy Au Er
1 1 1 1
Direct
0.750 0.750 0.750
0.000 0.000 0.000
0.250 0.250 0.250
0.500 0.500 0.500
```

formation energy without anion corrections	-63.80	kJ/mol of atoms
mass density	10274	kg/m³

(7)
Density functional theory data (PBE-GGA) for a relaxed structure of DyErSnAu.

Cell and atoms, written as POSCAR:
```
DyErSnAu
1.0
5.197 0.000 0.000
2.598 4.500 0.000
2.598 1.500 4.243
Dy Au Sn Er
1 1 1 1
Direct
0.000 0.000 0.000
0.750 0.750 0.750
0.250 0.250 0.250
0.500 0.500 0.500
```

energy of formation	-708.0	meV per atom
mass density	10801	kg/m³

(8)
Density functional theory data (PBE-GGA) for a relaxed structure of DyErTlAu.

Cell and atoms, written as POSCAR:
```
DyErTlAu
1.0
-2.632 -1.106 -2.210
2.355 -0.146 -2.732
1.590 -7.299 1.762
Dy Er Tl Au
1 1 1 1
Direct
0.500 0.500 0.126
0.500 0.500 0.585
0.000 0.000 0.854
0.000 0.000 0.364
```

energy of formation	-607.8	meV per atom
mass density	12135	kg/m³

(9)
Density functional theory data (PBE-GGA) for a relaxed structure of DyErTlAu.

Cell and atoms, written as POSCAR:
```
DyErTlAu
1.0
-4.433 -2.750 0.155
-1.625 -2.080 4.502
-4.197 1.950 2.411
Tl Dy Au Er
1 1 1 1
Direct
0.000 0.000 0.000
0.750 0.750 0.750
0.500 0.500 0.500
0.250 0.250 0.250
```

energy of formation	-564.8	meV per atom
mass density	12081	kg/m³

(10)
Density functional theory data (PBE-GGA) for a relaxed structure of EuDy2Au.

Cell and atoms, written as POSCAR:
```
EuDy2Au
1.0
-2.638 -2.448 1.289
-0.106 -3.578 -1.344
5.418 -4.960 7.338
Eu Au Dy
1 1 2
Direct
0.500 0.500 0.500
0.000 0.000 0.000
0.269 0.269 0.192
0.731 0.731 0.808
```

energy of formation	-261.3	meV per atom
mass density	8714	kg/m³

(11)
Density functional theory data (PBE-GGA) for a relaxed structure of EuDy2Au.

Cell and atoms, written as POSCAR:
```
EuDy2Au
1.0
-0.213 -0.430 -3.615
2.401 -2.738 0.185
-6.723 -5.823 1.089
Eu Au Dy
1 1 2
Direct
0.500 0.500 0.500
0.500 0.500 0.000
0.000 0.000 0.809
0.000 0.000 0.191
```

energy of formation	-354.3	meV per atom
mass density	9392	kg/m³

(12)
Density functional theory data (PBE-GGA) for a relaxed structure of EuDyGaAu.

Cell and atoms, written as POSCAR:
```
EuDyGaAu
1.0
-0.506 0.563 5.131
-4.250 -1.760 2.395
0.302 -4.143 3.105
Eu Au Ga Dy
1 1 1 1
Direct
0.000 0.000 0.000
0.750 0.750 0.750
0.250 0.250 0.250
0.500 0.500 0.500
```

energy of formation	-624.5	meV per atom
mass density	9782	kg/m³

(13)
Density functional theory data (PBE-GGA) for a relaxed structure of EuDyGeAu.

Cell and atoms, written as POSCAR:
```
EuDyGeAu
1.0
5.173 0.000 0.000
2.587 4.480 0.000
2.587 1.493 4.224
Eu Ge Au Dy
1 1 1 1
Direct
0.500 0.500 0.500
0.250 0.250 0.250
0.750 0.750 0.750
0.000 0.000 0.000
```

energy of formation	-744.0	meV per atom
mass density	9907	kg/m³

(14)
Density functional theory data (PBE-GGA) for a relaxed structure of EuDyHgAu.

Cell and atoms, written as POSCAR:
```
EuDyHgAu
1.0
5.268 0.000 0.000
2.634 4.563 0.000
2.634 1.521 4.302
Eu Au Hg Dy
1 1 1 1
Direct
0.750 0.750 0.750
0.000 0.000 0.000
0.500 0.500 0.500
0.250 0.250 0.250
```

energy of formation	-623.6	meV per atom
mass density	11434	kg/m³

(15)
Density functional theory data (PBE-GGA) for a relaxed structure of EuDyPbAu.

Cell and atoms, written as POSCAR:
```
EuDyPbAu
1.0
-4.115 -3.294 -1.020
-0.153 -4.877 2.239
-3.592 -1.079 3.842
Pb Eu Au Dy
1 1 1 1
Direct
0.500 0.500 0.500
0.750 0.750 0.750
0.000 0.000 0.000
0.250 0.250 0.250
```

energy of formation	-637.1	meV per atom
mass density	10906	kg/m³

(16)
Density functional theory data (PBE-GGA) for a relaxed structure of EuDyPtAu.

Cell and atoms, written as POSCAR:
```
EuDyPtAu
1.0
-0.975 -4.476 -2.202
2.826 -1.573 -3.920
3.230 -3.880 0.591
Eu Au Pt Dy
1 1 1 1
Direct
0.000 0.000 0.000
0.250 0.250 0.250
0.750 0.750 0.750
0.500 0.500 0.500
```

energy of formation	-902.8	meV per atom
mass density	12638	kg/m³

(17)
Density functional theory data (PBE-GGA) for a relaxed structure of EuDyRuAu.

Cell and atoms, written as POSCAR:
```
EuDyRuAu
1.0
-1.244 -4.854 0.027
2.833 -3.326 -2.454
2.788 -3.287 2.557
Eu Ru Au Dy
1 1 1 1
Direct
0.500 0.500 0.500
0.750 0.750 0.750
0.250 0.250 0.250
0.000 0.000 0.000
```

energy of formation	-358.0	meV per atom
mass density	11429	kg/m³

(18)
Density functional theory data (PBE-GGA) for a relaxed structure of EuDySbAu.

Cell and atoms, written as POSCAR:
```
EuDySbAu
1.0
-0.314 -5.268 0.597
2.833 -3.203 -3.149
4.124 -2.699 1.977
Eu Sb Au Dy
1 1 1 1
Direct
0.500 0.500 0.500
0.750 0.750 0.750
0.250 0.250 0.250
0.000 0.000 0.000
```

formation energy without anion corrections	-78.13	kJ/mol of atoms
mass density	9928	kg/m³

(19)
Density functional theory data (PBE-GGA) for a relaxed structure of EuDySnAu.

Cell and atoms, written as POSCAR:
```
EuDySnAu
1.0
-3.474 -2.403 3.241
-3.932 -2.957 -2.034
0.094 -5.295 0.548
Eu Au Sn Dy
1 1 1 1
Direct
0.000 0.000 0.000
0.750 0.750 0.750
0.250 0.250 0.250
0.500 0.500 0.500
```

energy of formation	-729.2	meV per atom
mass density	9807	kg/m³

(20)
Density functional theory data (PBE-GGA) for a relaxed structure of Dy2AuF.

Cell and atoms, written as POSCAR:
```
Dy2AuF
1.0
-1.970 -1.425 3.617
-1.837 -3.952 0.068
4.986 -4.661 3.505
F Au Dy
1 1 2
Direct
0.000 0.000 0.000
0.500 0.500 0.500
0.100 0.100 0.699
0.900 0.900 0.301
```

formation energy without anion corrections	-156.64	kJ/mol of atoms
mass density	7534	kg/m³

(21)
Density functional theory data (PBE-GGA) for a relaxed structure of Dy2Au5F21.

Cell and atoms, written as POSCAR:
```
Dy2Au5F21
1.0
-6.333 5.007 -0.211
-1.650 -1.423 8.970
6.995 9.399 2.962
Dy Au F
4 10 42
Direct
0.169 0.316 0.496
0.831 0.684 0.504
0.162 0.183 0.000
0.838 0.817 0.000
0.937 0.016 0.297
0.063 0.984 0.703
0.060 0.509 0.791
0.940 0.491 0.209
0.514 0.250 0.246
0.486 0.750 0.754
0.327 0.719 0.405
0.673 0.281 0.595
0.337 0.779 0.093
0.663 0.221 0.907
0.015 0.134 0.419
0.985 0.866 0.581
0.096 0.745 0.087
0.904 0.255 0.913
0.339 0.221 0.361
0.661 0.779 0.639
0.075 0.124 0.189
0.925 0.876 0.811
0.679 0.244 0.360
0.321 0.756 0.640
0.085 0.733 0.386
0.915 0.267 0.614
0.085 0.384 0.310
0.915 0.616 0.690
0.201 0.398 0.895
0.799 0.602 0.105
0.328 0.511 0.452
0.672 0.489 0.548
0.693 0.275 0.137
0.307 0.725 0.863
0.051 0.389 0.086
0.949 0.611 0.914
0.187 0.408 0.673
0.813 0.592 0.327
0.431 0.282 0.577
0.569 0.718 0.423
0.159 0.105 0.817
0.841 0.895 0.183
0.358 0.589 0.163
0.642 0.411 0.837
0.322 0.979 0.029
0.678 0.021 0.971
0.667 0.083 0.649
0.333 0.917 0.351
0.199 0.094 0.595
0.801 0.906 0.405
0.577 0.805 0.101
0.423 0.195 0.899
0.354 0.258 0.122
0.646 0.742 0.878
0.000 0.000 0.000
0.000 0.500 0.500
```

formation energy without anion corrections	-184.28	kJ/mol of atoms
mass density	6304	kg/m³

(22)
Density functional theory data (PBE-GGA) for a relaxed structure of Dy2AuO4F.

Cell and atoms, written as POSCAR:
```
Dy2AuO4F
1.0
3.407 0.000 0.000
1.704 5.130 0.664
1.704 1.786 6.099
Dy Au O F
2 1 4 1
Direct
0.814 0.665 0.707
0.186 0.335 0.293
0.000 0.000 0.000
0.169 0.979 0.683
0.359 0.348 0.934
0.831 0.021 0.317
0.641 0.652 0.066
0.500 0.500 0.500
```

formation energy without anion corrections	-231.01	kJ/mol of atoms
mass density	9793	kg/m³

(23)
Density functional theory data (PBE-GGA) for a relaxed structure of Dy2FeAu.

Cell and atoms, written as POSCAR:
```
Dy2FeAu
1.0
-0.370 1.561 -2.971
2.911 -1.338 -1.066
-3.606 -5.782 -2.589
Au Fe Dy
1 1 2
Direct
0.500 0.500 0.500
0.500 0.500 0.000
0.000 0.000 0.776
0.000 0.000 0.224
```

energy of formation	-347.5	meV per atom
mass density	11545	kg/m³

(24)
Density functional theory data (PBE-GGA) for a relaxed structure of DyFe4Au.

Cell and atoms, written as POSCAR:
```
DyFe4Au
1.0
-2.918 -4.056 0.586
1.223 -4.326 -2.257
1.626 -3.894 2.738
Au Fe Dy
1 4 1
Direct
0.250 0.250 0.250
0.625 0.625 0.124
0.625 0.124 0.625
0.625 0.625 0.625
0.124 0.625 0.625
0.000 0.000 0.000
```

energy of formation	-94.1	meV per atom
mass density	10753	kg/m³

(25)
Density functional theory data (PBE-GGA) for a relaxed structure of Dy3FeAu.

Cell and atoms, written as POSCAR:
```
Dy3FeAu
1.0
-0.541 2.963 2.227
-6.088 2.635 -4.986
-3.062 -5.027 5.943
Dy Fe Au
6 2 2
Direct
0.250 0.591 0.339
0.750 0.409 0.661
0.250 0.058 0.688
0.750 0.228 0.065
0.750 0.942 0.312
0.250 0.772 0.935
0.750 0.577 0.060
0.250 0.423 0.940
0.750 0.774 0.644
0.250 0.226 0.356
```

energy of formation	-367.8	meV per atom
mass density	10092	kg/m³